# ZnOsRu4, relaxed, DFT PBE
# * ΔH_f (0 K): 642 meV/atom
data_ZnOsRu4
_chemical_formula_sum 'Zn1 Os1 Ru4'
_symmetry_space_group_name_H-M 'P 1'
_symmetry_Int_Tables_number 1
_symmetry_space_group_name_Hall 'P 1'
_cell_length_a 5.034
_cell_length_b 5.034
_cell_length_c 5.034
_cell_angle_alpha 60.00
_cell_angle_beta 60.00
_cell_angle_gamma 60.00
loop_
_atom_site_label
_atom_site_type_symbol
_atom_site_fract_x
_atom_site_fract_y
_atom_site_fract_z
_atom_site_occupancy
Zn1 Zn 0.000 0.000 0.000 1
Os1 Os 0.750 0.750 0.750 1
Ru1 Ru 0.375 0.375 0.375 1
Ru2 Ru 0.375 0.375 0.876 1
Ru3 Ru 0.375 0.876 0.375 1
Ru4 Ru 0.876 0.375 0.375 1